Entry 1:
The following is a PBE calculation of a relaxed Re2TcPb crystal, from the Alexandria database.

Summary:
D(E_F) ... 1.013 states/eV/atom
Space group ... Pmmm (47)
E_form ... 0.716 eV per atom
Uncorrected energy ... -36.1 eV per cell

The structure in POSCAR format:
```
Re2TcPb
1.0
-2.179 1.077 1.645
-2.730 -2.048 -2.275
0.438 -4.499 3.525
Pb Re Tc
1 2 1
Direct
0.500 0.500 0.750
0.000 0.000 0.041
0.000 0.000 0.459
0.500 0.500 0.250
```

Entry 2:
The following is a PBE calculation of a relaxed ReTc2Pb crystal, from the Alexandria database.

Summary:
D(E_F) ... 1.309 states/eV/atom
Space group ... P4/mmm (123)
E_form ... 0.714 eV per atom
Uncorrected energy ... -34.0 eV per cell

The structure in POSCAR format:
```
ReTc2Pb
1.0
4.539 0.751 0.000
-0.750 4.540 0.000
0.000 0.000 3.143
Pb Re Tc
1 1 2
Direct
0.500 0.000 0.500
0.000 0.500 0.500
0.000 0.000 0.000
0.500 0.500 0.000
```

What is the formula in the second record? ReTc2Pb